This record from Alexandria describes a geometry-optimized GdAlInAg structure. The functional is PBE-GGA.

abc: 4.993 4.993 4.993
angles: 60.00 60.00 60.00
Site moments in Bohr magnetons follow the coordinates.
Fractional positions:
Al1 0.750 0.750 0.750  0.01
Gd1 0.000 0.000 0.000  -6.96
In1 0.500 0.500 0.500  0.03
Ag1 0.250 0.250 0.250  0.01

## Properties
Magnetic moment in μB/f.u.: 6.95
Energy of formation from the pure elements in eV/atom: -0.247
DOS at the Fermi energy in states/eV/f.u.: 2.0
VASP energy in eV/atom: -6.10